# TbZrCuS4

A relaxed structure of TbZrCuS4 (PBE, Alexandria via LeMat-Bulk).

The structure in POSCAR format:
```
TbZrCuS4
1.0
-6.0468 -3.5250 2.6719
-0.0106 -2.5068 7.1723
-4.3850 3.4629 5.1485
S Cu Zr Tb
8 2 2 2
Cartesian
-4.7656 -0.2572 9.8826
-7.8080 -0.7016 7.5350
-5.6768 -2.3117 5.1101
-5.5841 -3.5870 8.7612
-7.7720 -1.9736 11.3180
-4.8582 1.0180 6.2315
-2.6343 -1.8673 7.4578
-2.6704 -0.5953 3.6748
-4.3296 -3.3253 6.8216
-6.1127 0.7563 8.1711
-5.2159 -0.0311 3.9102
-2.1925 1.7315 2.5742
0.0000 0.0000 0.0000
-2.1978 0.4781 6.1604
```

Output
N(E_F)	1.02	states/eV per cell
uncorrected formation energy	-1.428	eV/atom